1.
The following is a DFT calculation (PBE) of a relaxed Dy2Er2Sc3 crystal.

Properties
As for the polymorph energy (0 for the lowest one): 0.000 eV/atom. The calculation puts the theoretical density at 6.719 g/cm3. Its total magnetization is 0.00 Bohr magnetons per cell. The energy of formation from the pure elements comes out at 0.05 eV per atom.

```
data_Dy2Er2Sc3
_symmetry_space_group_name_H-M 'C 1 2/m 1'
_symmetry_Int_Tables_number 12
_cell_length_a 10.764
_cell_length_b 4.817
_cell_length_c 7.653
_cell_angle_alpha 90.00
_cell_angle_beta 98.27
_cell_angle_gamma 90.00
loop_
_symmetry_equiv_pos_as_xyz
'x,y,z'
'-x,-y,-z'
'-x,y,-z'
'x,-y,z'
'x+1/2,y+1/2,z'
'-x+1/2,-y+1/2,-z'
'-x+1/2,y+1/2,-z'
'x+1/2,-y+1/2,z'
loop_
_atom_site_label
_atom_site_fract_x
_atom_site_fract_y
_atom_site_fract_z
_atom_site_occupancy
Dy1 0.212 0.000 0.146 1
Er1 0.071 0.000 0.710 1
Sc1 0.000 0.500 0.000 1
Sc2 0.143 0.500 0.428 1
```

=====

2.
The following is a DFT calculation (PBE) of a relaxed Dy3ErSc4 crystal.

Properties
The calculation puts the theoretical density at 6.190 g/cm3. Its total magnetization is 0.00 Bohr magnetons per cell. The energy of formation from the pure elements comes out at 0.03 eV per atom.

```
data_Dy3ErSc4
_symmetry_space_group_name_H-M 'P m n 21'
_symmetry_Int_Tables_number 31
_cell_length_a 10.761
_cell_length_b 6.931
_cell_length_c 6.003
_cell_angle_alpha 90.00
_cell_angle_beta 90.00
_cell_angle_gamma 90.00
loop_
_symmetry_equiv_pos_as_xyz
'x,y,z'
'-x+1/2,-y,z+1/2'
'-x,y,z'
'x+1/2,-y,z+1/2'
loop_
_atom_site_label
_atom_site_fract_x
_atom_site_fract_y
_atom_site_fract_z
_atom_site_occupancy
Dy1 0.000 0.134 0.000 1
Dy2 0.250 0.133 0.342 1
Er1 0.000 0.867 0.500 1
Sc1 0.000 0.383 0.508 1
Sc2 0.000 0.617 0.008 1
Sc3 0.249 0.617 0.334 1
```

=====

3.
The following is a DFT calculation (PBE) of a relaxed Dy2Er2Sc5 crystal.

Properties
As for the polymorph energy (0 for the lowest one): 0.089 eV/atom. The calculation puts the theoretical density at 5.841 g/cm3. Its total magnetization is 0.00 Bohr magnetons per cell. The energy of formation from the pure elements comes out at 0.19 eV per atom.

```
data_Dy2Er2Sc5
_symmetry_space_group_name_H-M 'I m a 2'
_symmetry_Int_Tables_number 46
_cell_length_a 11.624
_cell_length_b 8.280
_cell_length_c 10.448
_cell_angle_alpha 90.00
_cell_angle_beta 90.00
_cell_angle_gamma 90.00
loop_
_symmetry_equiv_pos_as_xyz
'x,y,z'
'-x,-y,z'
'-x+1/2,y,z'
'x+1/2,-y,z'
'x+1/2,y+1/2,z+1/2'
'-x+1/2,-y+1/2,z+1/2'
'-x,y+1/2,z+1/2'
'x,-y+1/2,z+1/2'
loop_
_atom_site_label
_atom_site_fract_x
_atom_site_fract_y
_atom_site_fract_z
_atom_site_occupancy
Dy1 0.000 0.000 0.000 1
Dy2 0.250 0.106 0.124 1
Er1 0.106 0.127 0.433 1
Sc1 0.099 0.692 0.745 1
Sc2 0.125 0.063 0.737 1
Sc3 0.250 0.715 0.003 1
```

=====

4.
The following is a DFT calculation (PBE) of a relaxed Dy9ErSc2 crystal.

Properties
As for the polymorph energy (0 for the lowest one): 0.013 eV/atom. The calculation puts the theoretical density at 7.872 g/cm3. Its total magnetization is 0.00 Bohr magnetons per cell. The energy of formation from the pure elements comes out at 0.05 eV per atom.

```
data_Dy9ErSc2
_symmetry_space_group_name_H-M 'P 6/m m m'
_symmetry_Int_Tables_number 191
_symmetry_space_group_name_Hall '-P 6 2'
_cell_length_a 11.0171
_cell_length_b 11.0171
_cell_length_c 3.4509
_cell_angle_alpha 90.00
_cell_angle_beta 90.00
_cell_angle_gamma 120.00
loop_
_atom_site_label
_atom_site_fract_x
_atom_site_fract_y
_atom_site_fract_z
_atom_site_occupancy
Dy1 0.0000 0.5000 0.0000 1
Dy2 0.1784 0.3567 0.5000 1
Er1 0.0000 0.0000 0.0000 1
Sc1 0.3333 0.6667 0.0000 1
```

=====

5.
The following is a DFT calculation (PBE) of a relaxed Dy7Er12Sc crystal.

Properties
As for the polymorph energy (0 for the lowest one): 0.000 eV/atom. The calculation puts the theoretical density at 8.502 g/cm3. Its total magnetization is 0.00 Bohr magnetons per cell. The energy of formation from the pure elements comes out at 0.29 eV per atom.

```
data_Dy7Er12Sc
_symmetry_space_group_name_H-M 'R -3'
_symmetry_Int_Tables_number 148
_symmetry_space_group_name_Hall '-R 3'
_cell_length_a 12.6292
_cell_length_b 12.6292
_cell_length_c 13.5298
_cell_angle_alpha 90.00
_cell_angle_beta 90.00
_cell_angle_gamma 120.00
loop_
_atom_site_label
_atom_site_fract_x
_atom_site_fract_y
_atom_site_fract_z
_atom_site_occupancy
Dy1 0.0000 0.0000 0.0000 1
Dy2 0.0673 0.2004 0.3567 1
Er1 0.0047 0.5676 0.7447 1
Er2 0.0667 0.8684 0.8423 1
Sc1 0.0000 0.0000 0.5000 1
```

=====

6.
The following is a DFT calculation (PBE) of a relaxed Dy6Er4Sc crystal.

Properties
As for the polymorph energy (0 for the lowest one): 0.163 eV/atom. The calculation puts the theoretical density at 7.948 g/cm3. Its total magnetization is 0.00 Bohr magnetons per cell. The energy of formation from the pure elements comes out at 0.30 eV per atom.

```
data_Dy6Er4Sc
_symmetry_space_group_name_H-M 'I -4 2 m'
_symmetry_Int_Tables_number 121
_symmetry_space_group_name_Hall 'I -4 2'
_cell_length_a 6.464
_cell_length_b 6.464
_cell_length_c 16.892
_cell_angle_alpha 90.00
_cell_angle_beta 90.00
_cell_angle_gamma 90.00
loop_
_atom_site_label
_atom_site_fract_x
_atom_site_fract_y
_atom_site_fract_z
_atom_site_occupancy
Dy1 0.000 0.500 0.000 1
Dy2 0.186 0.186 0.172 1
Er1 0.180 0.180 0.368 1
Sc1 0.000 0.000 0.000 1
```

=====

7.
The following is a DFT calculation (PBE) of a relaxed Dy2Er4Sc5 crystal.

Properties
As for the polymorph energy (0 for the lowest one): 0.014 eV/atom. The calculation puts the theoretical density at 6.425 g/cm3. Its total magnetization is 0.00 Bohr magnetons per cell. The energy of formation from the pure elements comes out at 0.14 eV per atom.

```
data_Dy2Er4Sc5
_symmetry_space_group_name_H-M 'C 1 2/m 1'
_symmetry_Int_Tables_number 12
_cell_length_a 22.655
_cell_length_b 3.348
_cell_length_c 8.319
_cell_angle_alpha 90.00
_cell_angle_beta 93.25
_cell_angle_gamma 90.00
loop_
_symmetry_equiv_pos_as_xyz
'x,y,z'
'-x,-y,-z'
'-x,y,-z'
'x,-y,z'
'x+1/2,y+1/2,z'
'-x+1/2,-y+1/2,-z'
'-x+1/2,y+1/2,-z'
'x+1/2,-y+1/2,z'
loop_
_atom_site_label
_atom_site_fract_x
_atom_site_fract_y
_atom_site_fract_z
_atom_site_occupancy
Dy1 0.088 0.000 0.196 1
Er1 0.045 0.500 0.838 1
Er2 0.227 0.000 0.324 1
Sc1 0.000 0.000 0.500 1
Sc2 0.129 0.500 0.538 1
Sc3 0.188 0.500 0.977 1
```

=====

8.
The following is a DFT calculation (PBE) of a relaxed DyEr2Sc3 crystal.

Properties
The calculation puts the theoretical density at 6.324 g/cm3. Its total magnetization is 0.00 Bohr magnetons per cell. The energy of formation from the pure elements comes out at 0.05 eV per atom.

```
data_DyEr2Sc3
_symmetry_space_group_name_H-M 'P 1 21/m 1'
_symmetry_Int_Tables_number 11
_cell_length_a 5.932
_cell_length_b 3.423
_cell_length_c 16.461
_cell_angle_alpha 90.00
_cell_angle_beta 96.92
_cell_angle_gamma 90.00
loop_
_symmetry_equiv_pos_as_xyz
'x,y,z'
'-x,-y,-z'
'-x,y+1/2,-z'
'x,-y+1/2,z'
loop_
_atom_site_label
_atom_site_fract_x
_atom_site_fract_y
_atom_site_fract_z
_atom_site_occupancy
Dy1 0.028 0.250 0.333 1
Er1 0.250 0.250 0.000 1
Er2 0.473 0.250 0.667 1
Sc1 0.139 0.750 0.167 1
Sc2 0.251 0.750 0.500 1
Sc3 0.361 0.750 0.833 1
```

=====

9.
The following is a DFT calculation (PBE) of a relaxed Dy7ErSc4 crystal.

Properties
As for the polymorph energy (0 for the lowest one): 0.000 eV/atom. The calculation puts the theoretical density at 7.099 g/cm3. Its total magnetization is 0.00 Bohr magnetons per cell. The energy of formation from the pure elements comes out at 0.02 eV per atom.

```
data_Dy7ErSc4
_symmetry_space_group_name_H-M 'P -1'
_symmetry_Int_Tables_number 2
_cell_length_a 6.022
_cell_length_b 6.949
_cell_length_c 8.539
_cell_angle_alpha 89.95
_cell_angle_beta 76.34
_cell_angle_gamma 89.94
loop_
_symmetry_equiv_pos_as_xyz
'x,y,z'
'-x,-y,-z'
loop_
_atom_site_label
_atom_site_fract_x
_atom_site_fract_y
_atom_site_fract_z
_atom_site_occupancy
Dy1 0.000 0.000 0.000 1
Dy2 0.223 0.500 0.336 1
Dy3 0.284 0.755 0.661 1
Dy4 0.497 0.245 0.995 1
Er1 0.000 0.500 0.000 1
Sc1 0.217 0.000 0.340 1
Sc2 0.275 0.245 0.663 1
```

=====

Among the records above, which one has the highest theoretical density?
Dy7Er12Sc